DFT (PBE-GGA) results for crystalline AcHoCoCu at its relaxed geometry.

E_tot (Ry per atom): -0.3656
Formation energy (eV per atom): -0.0027

Cell lengths 5.0343, 5.0343, 5.0343 Å; angles 60.00, 60.00, 60.00 degrees
Last column: nearest neighbours and their distance in Å.
Fractional coordinates of all 4 atoms:
1 Ac 0.5000 0.5000 0.5000  4 Cu 3.08, 4 Co 3.08
2 Co 0.7500 0.7500 0.7500  4 Ho 3.08, 4 Ac 3.08
3 Ho 0.0000 0.0000 0.0000  4 Co 3.08, 4 Cu 3.08
4 Cu 0.2500 0.2500 0.2500  4 Ac 3.08, 4 Ho 3.08

=====

DFT (PBE-GGA) results for crystalline Sm3Dy6Y2Ho at its relaxed geometry.

E_tot (Ry per atom): -0.3618
Formation energy (eV per atom): 0.0174

Cell lengths 6.1787, 6.1787, 11.8166 Å; angles 94.98, 94.98, 119.96 degrees
Last column: nearest neighbours and their distance in Å.
Fractional coordinates of all 12 atoms:
1 Sm 0.1667 0.8333 0.5000  6 Sm 3.57, 6 Dy 3.58-3.59
2 Sm 0.8333 0.1667 0.5000  6 Sm 3.57, 6 Dy 3.58-3.59
3 Sm 0.5000 0.5000 0.5000  6 Sm 3.57, 6 Dy 3.58
4 Dy 0.9170 0.5844 0.7519  1 Ho 3.55, 2 Y 3.55, 6 Dy 3.56-3.57, 3 Sm 3.58-3.59
5 Dy 0.7505 0.7505 0.2482  1 Ho 3.54, 2 Y 3.55, 6 Dy 3.56-3.57, 3 Sm 3.58
6 Dy 0.0830 0.4156 0.2481  1 Ho 3.55, 2 Y 3.55, 6 Dy 3.56-3.57, 3 Sm 3.58-3.59
7 Dy 0.5844 0.9170 0.7519  1 Ho 3.55, 2 Y 3.55, 6 Dy 3.56-3.57, 3 Sm 3.58-3.59
8 Dy 0.2495 0.2495 0.7518  1 Ho 3.54, 2 Y 3.55, 6 Dy 3.56-3.57, 3 Sm 3.58
9 Dy 0.4156 0.0830 0.2481  1 Ho 3.55, 2 Y 3.55, 6 Dy 3.56-3.57, 3 Sm 3.58-3.59
10 Y 0.3333 0.6667 0.0000  6 Dy 3.55, 3 Y 3.57, 3 Ho 3.57
11 Y 0.6667 0.3333 0.0000  6 Dy 3.55, 3 Y 3.57, 3 Ho 3.57
12 Ho 0.0000 0.0000 0.0000  6 Dy 3.54-3.55, 6 Y 3.57

=====

DFT (PBE-GGA) results for crystalline Zn2OsSe at its relaxed geometry.

E_tot (Ry per atom): -0.2877
ΔE_f (raw) (eV/atom): 0.4014

Cell lengths 2.7130, 2.7130, 10.1942 Å; angles 90.00, 90.00, 116.08 degrees
Last column: nearest neighbours and their distance in Å.
Fractional coordinates of all 4 atoms:
1 Os 0.5000 0.5000 0.2500  4 Zn 2.64, 6 Os 2.71-2.87
2 Se 0.5000 0.5000 0.7500  6 Se 2.71-2.87
3 Zn 0.0000 0.0000 0.0331  2 Os 2.64, 6 Zn 2.71-2.87
4 Zn 0.0000 0.0000 0.4669  2 Os 2.64, 6 Zn 2.71-2.87

=====

DFT (PBE-GGA) results for crystalline NiSn2H6Ir at its relaxed geometry.

E_tot (Ry per atom): -0.3139

Cell lengths 5.4058, 5.4060, 5.6791 Å; angles 102.36, 102.41, 123.32 degrees
Last column: nearest neighbours and their distance in Å.
Fractional coordinates of all 10 atoms:
1 Ni 0.2004 0.2012 0.2011  4 H 1.61-1.75
2 Sn 0.5729 0.2253 0.5977  1 H 2.39, 1 Ni 2.60
3 Sn 0.2246 0.5735 0.5977  1 H 2.38, 1 Ni 2.60
4 H 0.8682 0.8678 0.9129  1 Ir 1.70, 1 Ni 1.75
5 H 0.5495 0.5506 0.3063  1 Ni 1.61, 1 Ir 1.76
6 H 0.2456 0.2452 0.9129  1 Ir 1.70, 1 Ni 1.75
7 H 0.8089 0.4604 0.0688  1 Ir 1.67
8 H 0.9562 0.9574 0.3063  1 Ni 1.61, 1 Ir 1.76
9 H 0.4592 0.8085 0.0673  1 Ir 1.67
10 Ir 0.6135 0.6139 0.0269  6 H 1.67-1.76

=====

DFT (PBE-GGA) results for crystalline TiFeAsRu at its relaxed geometry.

E_tot (Ry per atom): -0.5817
Formation energy (eV per atom): -0.3436

Cell lengths 4.2332, 4.2332, 4.2332 Å; angles 60.00, 60.00, 60.00 degrees
Last column: nearest neighbours and their distance in Å.
Fractional coordinates of all 4 atoms:
1 Ru 0.0000 0.0000 0.0000  4 Ti 2.59, 4 As 2.59
2 As 0.2500 0.2500 0.2500  4 Fe 2.59, 4 Ru 2.59
3 Fe 0.5000 0.5000 0.5000  4 As 2.59, 4 Ti 2.59
4 Ti 0.7500 0.7500 0.7500  4 Ru 2.59, 4 Fe 2.59

=====

DFT (PBE-GGA) results for crystalline BiPbS2 at its relaxed geometry.

E_tot (Ry per atom): -0.3125
ΔE_f (raw) (eV/atom): -0.2903

Cell lengths 4.4899, 3.9200, 12.2295 Å; angles 99.22, 90.00, 90.00 degrees
Last column: nearest neighbours and their distance in Å.
Fractional coordinates of all 8 atoms:
1 Bi 0.2500 0.1856 0.3712  5 S 2.69-2.98
2 Bi 0.7500 0.8144 0.6288  5 S 2.69-2.98
3 Pb 0.2500 0.4360 0.8720  5 S 2.84-2.99
4 Pb 0.7500 0.5640 0.1280  5 S 2.84-2.99
5 S 0.7500 0.6818 0.3637  1 Pb 2.84, 4 Bi 2.98
6 S 0.2500 0.3182 0.6363  1 Pb 2.84, 4 Bi 2.98
7 S 0.7500 0.9259 0.8519  1 Bi 2.69, 4 Pb 2.99
8 S 0.2500 0.0741 0.1481  1 Bi 2.69, 4 Pb 2.99

=====

DFT (PBE-GGA) results for crystalline Ti3TcH at its relaxed geometry.

E_tot (Ry per atom): -0.5612
Distance to the lowest polymorph of the same formula (eV/f.u.): 0.00

Cell lengths 4.0417, 4.0417, 4.0417 Å; angles 90.00, 90.00, 90.00 degrees
Last column: nearest neighbours and their distance in Å.
Fractional coordinates of all 5 atoms:
1 H 0.0000 0.0000 0.0000  6 Ti 2.02
2 Tc 0.5000 0.5000 0.5000  12 Ti 2.86
3 Ti 0.0000 0.5000 0.0000  2 H 2.02
4 Ti 0.0000 0.0000 0.5000  2 H 2.02
5 Ti 0.5000 0.0000 0.0000  2 H 2.02

=====

DFT (PBE-GGA) results for crystalline PrAlO3 at its relaxed geometry.

E_tot (Ry per atom): -0.5808
ΔE_f (raw) (eV/atom): -3.2229

Cell lengths 3.7896, 3.7896, 3.7896 Å; angles 90.00, 90.00, 90.00 degrees
Last column: nearest neighbours and their distance in Å.
Fractional coordinates of all 5 atoms:
1 Pr 0.5000 0.5000 0.5000  12 O 2.68
2 Al 0.0000 0.0000 0.0000  6 O 1.89
3 O 0.0000 0.5000 0.0000  2 Al 1.89
4 O 0.0000 0.0000 0.5000  2 Al 1.89
5 O 0.5000 0.0000 0.0000  2 Al 1.89

=====

DFT (PBE-GGA) results for crystalline SrMn2HgSe at its relaxed geometry.

E_tot (Ry per atom): -0.3433
ΔE_f (raw) (eV/atom): 0.0905

Cell lengths 4.7636, 5.8276, 4.7636 Å; angles 90.00, 90.00, 90.00 degrees
Last column: nearest neighbours and their distance in Å.
Fractional coordinates of all 5 atoms:
1 Sr 0.0000 0.5000 0.0000  2 Se 2.91
2 Mn 0.0000 0.0000 0.5000  2 Se 2.38
3 Mn 0.5000 0.0000 0.0000  2 Se 2.38
4 Hg 0.5000 0.5000 0.5000  4 Sr 3.37, 8 Mn 3.76
5 Se 0.0000 0.0000 0.0000  4 Mn 2.38

=====

DFT (PBE-GGA) results for crystalline Rb2Na3NpO6 at its relaxed geometry.

E_tot (Ry per atom): -0.4455
ΔE_f (raw) (eV/atom): -2.0133

Cell lengths 6.8662, 6.8662, 5.9024 Å; angles 100.16, 100.16, 123.57 degrees
Last column: nearest neighbours and their distance in Å.
Fractional coordinates of all 12 atoms:
1 Rb 0.3250 0.6750 0.0000  6 O 2.83-2.91
2 Rb 0.6750 0.3250 0.0000  6 O 2.83-2.91
3 Na 0.1266 0.8734 0.5000  4 O 2.33-2.36
4 Na 0.8734 0.1266 0.5000  4 O 2.33-2.36
5 Na 0.5000 0.5000 0.5000  4 O 2.48
6 Np 0.0000 0.0000 0.0000  6 O 2.04-2.05
7 O 0.9245 0.6885 0.7683  1 Np 2.05
8 O 0.8028 0.8028 0.1993  1 Np 2.04
9 O 0.0755 0.3115 0.2317  1 Np 2.05
10 O 0.6885 0.9245 0.7683  1 Np 2.05
11 O 0.1972 0.1972 0.8007  1 Np 2.04
12 O 0.3115 0.0755 0.2317  1 Np 2.05

=====

DFT (PBE-GGA) results for crystalline SrHgRhPb2 at its relaxed geometry.

E_tot (Ry per atom): -0.2569
Distance to the lowest polymorph of the same formula (eV/f.u.): 0.28
Formation energy (eV per atom): -0.1448

Cell lengths 5.3111, 5.3111, 5.3248 Å; angles 90.00, 90.00, 90.00 degrees
Last column: nearest neighbours and their distance in Å.
Fractional coordinates of all 5 atoms:
1 Pb 0.0000 0.5000 0.0000  2 Rh 2.66
2 Pb 0.5000 0.0000 0.0000  2 Rh 2.66
3 Sr 0.5000 0.5000 0.5000  4 Hg 3.76, 8 Pb 3.76
4 Rh 0.0000 0.0000 0.0000  4 Pb 2.66, 2 Hg 2.66
5 Hg 0.0000 0.0000 0.5000  2 Rh 2.66

=====

DFT (PBE-GGA) results for crystalline BaErC2O6 at its relaxed geometry.

E_tot (Ry per atom): -0.5576
ΔE_f (raw) (eV/atom): -2.1177

Cell lengths 6.3918, 6.3918, 7.0453 Å; angles 102.98, 102.98, 100.09 degrees
Last column: nearest neighbours and their distance in Å.
Fractional coordinates of all 20 atoms:
1 Ba 0.1373 0.8627 0.2500  8 O 2.76-2.90
2 Ba 0.8627 0.1373 0.7500  8 O 2.76-2.90
3 Er 0.5860 0.4140 0.2500  8 O 2.29-2.47
4 Er 0.4140 0.5860 0.7500  8 O 2.29-2.47
5 C 0.3701 0.1277 0.7541  3 O 1.31-1.34
6 C 0.8723 0.6299 0.7459  3 O 1.31-1.34
7 C 0.6299 0.8723 0.2459  3 O 1.31-1.34
8 C 0.1277 0.3701 0.2541  3 O 1.31-1.34
9 O 0.9295 0.4071 0.2079  1 C 1.31
10 O 0.5929 0.0705 0.2921  1 C 1.31
11 O 0.0705 0.5929 0.7921  1 C 1.31
12 O 0.4071 0.9295 0.7079  1 C 1.31
13 O 0.1965 0.2383 0.1183  1 C 1.33
14 O 0.7617 0.8035 0.3817  1 C 1.33
15 O 0.8035 0.7617 0.8817  1 C 1.33
16 O 0.2383 0.1965 0.6183  1 C 1.33
17 O 0.2930 0.5204 0.3998  1 C 1.34
18 O 0.4796 0.7070 0.1002  1 C 1.34
19 O 0.7070 0.4796 0.6002  1 C 1.34
20 O 0.5204 0.2930 0.8998  1 C 1.34

=====

- What is the E_tot in the fourth record?
  -0.3139 Ry per atom

=====

What did the second record say?
DFT (PBE-GGA) results for crystalline Sm3Dy6Y2Ho at its relaxed geometry.

E_tot (Ry per atom): -0.3618
Formation energy (eV per atom): 0.0174

Cell lengths 6.1787, 6.1787, 11.8166 Å; angles 94.98, 94.98, 119.96 degrees
Last column: nearest neighbours and their distance in Å.
Fractional coordinates of all 12 atoms:
1 Sm 0.1667 0.8333 0.5000  6 Sm 3.57, 6 Dy 3.58-3.59
2 Sm 0.8333 0.1667 0.5000  6 Sm 3.57, 6 Dy 3.58-3.59
3 Sm 0.5000 0.5000 0.5000  6 Sm 3.57, 6 Dy 3.58
4 Dy 0.9170 0.5844 0.7519  1 Ho 3.55, 2 Y 3.55, 6 Dy 3.56-3.57, 3 Sm 3.58-3.59
5 Dy 0.7505 0.7505 0.2482  1 Ho 3.54, 2 Y 3.55, 6 Dy 3.56-3.57, 3 Sm 3.58
6 Dy 0.0830 0.4156 0.2481  1 Ho 3.55, 2 Y 3.55, 6 Dy 3.56-3.57, 3 Sm 3.58-3.59
7 Dy 0.5844 0.9170 0.7519  1 Ho 3.55, 2 Y 3.55, 6 Dy 3.56-3.57, 3 Sm 3.58-3.59
8 Dy 0.2495 0.2495 0.7518  1 Ho 3.54, 2 Y 3.55, 6 Dy 3.56-3.57, 3 Sm 3.58
9 Dy 0.4156 0.0830 0.2481  1 Ho 3.55, 2 Y 3.55, 6 Dy 3.56-3.57, 3 Sm 3.58-3.59
10 Y 0.3333 0.6667 0.0000  6 Dy 3.55, 3 Y 3.57, 3 Ho 3.57
11 Y 0.6667 0.3333 0.0000  6 Dy 3.55, 3 Y 3.57, 3 Ho 3.57
12 Ho 0.0000 0.0000 0.0000  6 Dy 3.54-3.55, 6 Y 3.57

=====

- Among the records above, which one has the lowest E_tot?
  TiFeAsRu

=====

- What is the formula in the twelfth record?
  BaErC2O6